Record 1
The following is a DFT calculation (PBE-GGA) of crystalline KInPt2 at its relaxed geometry.

Output
* formation energy from the elements: -0.056 eV/atom
* space-group type: Pm, No. 6
* size of the total moment: 0.0 μB per cell
* energy: -4.036 eV/atom

Cell: 4.5446 3.0044 6.9527 Å, 77.81 90.00 90.00°
Positions (direct):
K 0.5000 0.7909 0.7855
In 0.0000 0.4989 0.3830
Pt 0.5000 0.0434 0.2924
Pt 0.0000 0.1668 0.0391


Record 2
The following is a DFT calculation (PBE-GGA) of crystalline KInPt2 at its relaxed geometry.

Output
* formation energy from the elements: 0.145 eV/atom
* space-group type: I-42d, No. 122
* size of the total moment: 0.0 μB per cell
* energy: -3.835 eV/atom

Cell: 7.8855 7.8855 6.3292 Å, 51.47 51.47 90.00°
Positions (direct):
Pt 0.8750 0.9193 0.7500
Pt 0.6693 0.1250 0.2500
Pt 0.3750 0.3307 0.7500
Pt 0.0807 0.6250 0.2500
K 0.5000 0.5000 0.0000
K 0.2500 0.7500 0.5000
In 0.0000 0.0000 0.0000
In 0.7500 0.2500 0.5000


Record 3
The following is a DFT calculation (PBE-GGA) of crystalline KRb2InPt at its relaxed geometry.

Output
* formation energy from the elements: -0.076 eV/atom
* space-group type: P4/mmm, No. 123
* size of the total moment: 0.0 μB per cell
* energy: -2.439 eV/atom

Cell: 6.6133 6.6133 5.2782 Å, 90.00 90.00 90.00°
Positions (direct):
Rb 0.5000 0.0000 0.0000
Rb 0.0000 0.5000 0.0000
In 0.0000 0.0000 0.5000
K 0.5000 0.5000 0.5000
Pt 0.0000 0.0000 0.0000


Record 4
The following is a DFT calculation (PBE-GGA) of crystalline KRb2In12Pt3 at its relaxed geometry.

Output
* formation energy from the elements: -0.061 eV/atom
* space-group type: R-3m, No. 166
* size of the total moment: 0.0 μB per cell
* energy: -3.062 eV/atom

Cell: 9.1658 9.1658 9.1658 Å, 64.88 64.88 64.88°
Positions (direct):
Pt 0.0000 0.5000 0.0000
Pt 0.5000 0.0000 0.0000
Pt 0.0000 0.0000 0.5000
In 0.2617 0.8887 0.2617
In 0.8324 0.8324 0.4727
In 0.4727 0.8324 0.8324
In 0.8887 0.2617 0.2617
In 0.1676 0.1676 0.5273
In 0.2617 0.2617 0.8887
In 0.8324 0.4727 0.8324
In 0.5273 0.1676 0.1676
In 0.1676 0.5273 0.1676
In 0.7383 0.1113 0.7383
In 0.1113 0.7383 0.7383
In 0.7383 0.7383 0.1113
Rb 0.4199 0.4199 0.4199
Rb 0.5801 0.5801 0.5801
K 0.0000 0.0000 0.0000


Record 5
The following is a DFT calculation (PBE-GGA) of crystalline KRbInPt at its relaxed geometry.

Output
* formation energy from the elements: -0.220 eV/atom
* space-group type: Cm, No. 8
* size of the total moment: 0.0 μB per cell
* energy: -2.931 eV/atom

Cell: 4.6389 4.6389 9.4690 Å, 90.11 90.11 60.01°
Positions (direct):
In 0.0242 0.0242 0.9066
Rb 0.3583 0.3583 0.1748
K 0.3570 0.3570 0.6601
Pt 0.6910 0.6910 0.9077


Record 6
The following is a DFT calculation (PBE-GGA) of crystalline KInPtRh2 at its relaxed geometry.

Output
* formation energy from the elements: 0.873 eV/atom
* space-group type: P4/mmm, No. 123
* size of the total moment: 0.0 μB per cell
* energy: -4.043 eV/atom

Cell: 4.8881 5.5730 4.8881 Å, 90.00 90.00 90.00°
Positions (direct):
Pt 0.0000 0.0000 0.0000
Rh 0.5000 0.0000 0.0000
Rh 0.0000 0.0000 0.5000
In 0.5000 0.5000 0.5000
K 0.0000 0.5000 0.0000


Record 7
The following is a DFT calculation (PBE-GGA) of crystalline K2InSb3Pt4 at its relaxed geometry.

Output
* formation energy (no corrections): -0.48 eV per atom
* space-group type: P-4m2, No. 115
* size of the total moment: 0.0 μB per cell
* energy: -4.630 eV/atom

Cell: 4.7873 4.7873 10.5339 Å, 90.00 90.00 90.00°
Positions (direct):
Sb 0.5000 0.0000 0.8794
Sb 0.0000 0.0000 0.5000
Sb 0.0000 0.5000 0.1206
In 0.5000 0.5000 0.5000
Pt 0.5000 0.0000 0.6243
Pt 0.0000 0.5000 0.3757
Pt 0.0000 0.0000 0.0000
Pt 0.5000 0.5000 0.0000
K 0.0000 0.5000 0.7542
K 0.5000 0.0000 0.2458


Record 8
The following is a DFT calculation (PBE-GGA) of crystalline KIn2SiPt at its relaxed geometry.

Output
* formation energy (no corrections): 1.69 eV per atom
* space-group type: P4/mmm, No. 123
* size of the total moment: 0.0 μB per cell
* energy: -1.915 eV/atom

Cell: 5.7335 5.2858 5.7335 Å, 90.00 90.00 90.00°
Positions (direct):
In 0.5000 0.0000 0.0000
In 0.0000 0.0000 0.5000
K 0.0000 0.0000 0.0000
Si 0.0000 0.5000 0.0000
Pt 0.5000 0.5000 0.5000


Record 9
The following is a DFT calculation (PBE-GGA) of crystalline K2InSn3Pt4 at its relaxed geometry.

Output
* formation energy from the elements: -0.482 eV/atom
* space-group type: P-4m2, No. 115
* size of the total moment: 0.0 μB per cell
* energy: -4.592 eV/atom

Cell: 4.7955 4.7955 10.5306 Å, 90.00 90.00 90.00°
Positions (direct):
In 0.5000 0.5000 0.5000
Sn 0.0000 0.5000 0.1190
Sn 0.0000 0.0000 0.5000
Sn 0.5000 0.0000 0.8810
K 0.0000 0.5000 0.7578
K 0.5000 0.0000 0.2422
Pt 0.5000 0.0000 0.6258
Pt 0.0000 0.5000 0.3742
Pt 0.5000 0.5000 0.0000
Pt 0.0000 0.0000 0.0000


Record 10
The following is a DFT calculation (PBE-GGA) of crystalline K2In3SnPt4 at its relaxed geometry.

Output
* formation energy from the elements: -0.399 eV/atom
* space-group type: P-4m2, No. 115
* size of the total moment: 0.0 μB per cell
* energy: -4.256 eV/atom

Cell: 4.7938 4.7938 10.6244 Å, 90.00 90.00 90.00°
Positions (direct):
Pt 0.5000 0.0000 0.6206
Pt 0.0000 0.5000 0.3794
Pt 0.0000 0.0000 0.0000
Pt 0.5000 0.5000 0.0000
In 0.0000 0.5000 0.1232
In 0.5000 0.0000 0.8768
In 0.0000 0.0000 0.5000
K 0.5000 0.0000 0.2368
K 0.0000 0.5000 0.7632
Sn 0.5000 0.5000 0.5000


Record 11
The following is a DFT calculation (PBE-GGA) of crystalline KInTc2Pt at its relaxed geometry.

Output
* formation energy from the elements: 1.374 eV/atom
* space-group type: P4/mmm, No. 123
* size of the total moment: 3.2 μB per cell
* energy: -4.747 eV/atom

Cell: 4.8791 5.7658 4.8791 Å, 90.00 90.00 90.00°
Last column: magnetic moment on the atom in μB.
Positions (direct):
In 0.5000 0.5000 0.5000  -0.03
Tc 0.5000 0.0000 0.0000  1.39
Tc 0.0000 0.0000 0.5000  1.57
Pt 0.0000 0.0000 0.0000  0.02
K 0.0000 0.5000 0.0000  -0.01


Record 12
The following is a DFT calculation (PBE-GGA) of crystalline KTl2InPt at its relaxed geometry.

Output
* formation energy from the elements: -0.103 eV/atom
* space-group type: P4/mmm, No. 123
* size of the total moment: 0.0 μB per cell
* energy: -3.025 eV/atom

Cell: 5.4907 5.4907 5.3005 Å, 90.00 90.00 90.00°
Positions (direct):
Tl 0.5000 0.0000 0.0000
Tl 0.0000 0.5000 0.0000
In 0.0000 0.0000 0.5000
Pt 0.0000 0.0000 0.0000
K 0.5000 0.5000 0.5000


Record 13
The following is a DFT calculation (PBE-GGA) of crystalline KPuIn at its relaxed geometry.

Output
* formation energy from the elements: 0.105 eV/atom
* space-group type: C2/m, No. 12
* size of the total moment: 0.6 μB per cell
* energy: -5.951 eV/atom

Cell: 4.4656 15.3045 15.4487 Å, 13.09 90.00 98.39°
Last column: magnetic moment on the atom in μB.
Positions (direct):
Pu 0.7865 0.5729 0.3978  0.28
Pu 0.2135 0.4271 0.6022  0.28
In 0.7956 0.5912 0.5885  0.00
In 0.2044 0.4088 0.4115  0.00
K 0.4087 0.8174 0.5430  0.00
K 0.5913 0.1826 0.4570  0.00


Record 14
The following is a DFT calculation (PBE-GGA) of crystalline KPuIn2 at its relaxed geometry.

Output
* formation energy from the elements: -0.028 eV/atom
* space-group type: P4/mmm, No. 123
* size of the total moment: 5.9 μB per cell
* energy: -5.254 eV/atom

Cell: 3.4582 3.4582 10.1046 Å, 90.00 90.00 90.00°
Last column: magnetic moment on the atom in μB.
Positions (direct):
In 0.0000 0.0000 0.2215  0.00
In 0.0000 0.0000 0.7785  0.00
Pu 0.5000 0.5000 0.0000  5.48
K 0.5000 0.5000 0.5000  0.01


Record 15
The following is a DFT calculation (PBE-GGA) of crystalline K3Pu2InS6 at its relaxed geometry.

Output
* formation energy (no corrections): -1.32 eV per atom
* space-group type: C2/m, No. 12
* size of the total moment: 10.0 μB per cell
* energy: -6.276 eV/atom

Cell: 7.0745 7.0745 7.6846 Å, 98.81 98.81 119.99°
Last column: magnetic moment on the atom in μB.
Positions (direct):
S 0.6037 0.9334 0.8002  -0.07
S 0.0666 0.3963 0.1998  -0.07
S 0.9334 0.6037 0.8002  -0.07
S 0.2632 0.2632 0.8009  -0.07
S 0.3963 0.0666 0.1998  -0.07
S 0.7368 0.7368 0.1991  -0.07
K 0.8344 0.1656 0.5000  0.00
K 0.5000 0.5000 0.5000  0.00
K 0.1656 0.8344 0.5000  0.00
Pu 0.6668 0.3332 0.0000  5.02
Pu 0.3332 0.6668 0.0000  5.02
In 0.0000 0.0000 0.0000  0.09


Record 16
The following is a DFT calculation (PBE-GGA) of crystalline K3Pu3InSe8 at its relaxed geometry.

Output
* formation energy (no corrections): -1.26 eV per atom
* space-group type: R-3m, No. 166
* size of the total moment: 14.0 μB per cell
* energy: -6.383 eV/atom

Cell: 8.4094 8.4092 9.1363 Å, 117.41 90.00 120.00°
Last column: magnetic moment on the atom in μB.
Positions (direct):
Se 0.2657 0.5313 0.2971  0.12
Se 0.7689 0.5378 0.3015  0.11
Se 0.7362 0.9674 0.6986  0.11
Se 0.2312 0.9674 0.6985  0.11
Se 0.2311 0.4622 0.6985  0.11
Se 0.2638 0.0326 0.3014  0.11
Se 0.7688 0.0326 0.3015  0.11
Se 0.7343 0.4687 0.7029  0.12
K 0.0000 0.0000 0.0000  0.00
K 0.0000 0.5000 0.0000  0.00
K 0.5000 0.5000 0.0000  0.00
Pu 0.0000 0.5000 0.5000  -4.96
Pu 0.5000 0.0000 0.5000  -4.96
Pu 0.5000 0.5000 0.5000  -4.96
In 0.0000 0.0000 0.5000  -0.05


Record 17
The following is a DFT calculation (PBE-GGA) of crystalline K3Pu2InSe6 at its relaxed geometry.

Output
* formation energy (no corrections): -1.23 eV per atom
* space-group type: C2/m, No. 12
* size of the total moment: 10.0 μB per cell
* energy: -5.866 eV/atom

Cell: 7.3827 7.3827 8.0090 Å, 98.83 98.83 120.00°
Last column: magnetic moment on the atom in μB.
Positions (direct):
Pu 0.6667 0.3333 0.0000  5.08
Pu 0.3333 0.6667 0.0000  5.08
Se 0.2629 0.2629 0.7973  -0.07
Se 0.9324 0.6020 0.7970  -0.07
Se 0.3980 0.0676 0.2030  -0.07
Se 0.0676 0.3980 0.2030  -0.07
Se 0.7371 0.7371 0.2027  -0.07
Se 0.6020 0.9324 0.7970  -0.07
K 0.5000 0.5000 0.5000  0.00
K 0.1657 0.8343 0.5000  0.00
K 0.8343 0.1657 0.5000  0.00
In 0.0000 0.0000 0.0000  0.10


Record 18
The following is a DFT calculation (PBE-GGA) of crystalline K4Pu3InSe8 at its relaxed geometry.

Output
* formation energy (no corrections): -1.26 eV per atom
* space-group type: P-3m1, No. 164
* size of the total moment: 14.9 μB per cell
* energy: -6.136 eV/atom

Cell: 8.4691 7.8526 8.4675 Å, 90.02 120.01 90.00°
Last column: magnetic moment on the atom in μB.
Positions (direct):
Se 0.6690 0.7013 0.8345  0.07
Se 0.3333 0.2970 0.6666  0.11
Se 0.8345 0.2987 0.1655  0.07
Se 0.1655 0.7013 0.3311  0.07
Se 0.3310 0.2987 0.1655  0.07
Se 0.8345 0.2987 0.6689  0.07
Se 0.1655 0.7013 0.8345  0.07
Se 0.6667 0.7030 0.3334  0.11
In 0.0000 0.5000 0.0000  -0.09
Pu 0.5000 0.5000 0.5000  -5.09
Pu 0.5000 0.5000 0.0000  -5.09
Pu 0.0000 0.5000 0.5000  -5.09
K 0.0000 0.0000 0.5000  0.00
K 0.5000 0.0000 0.5000  0.00
K 0.5000 0.0000 0.0000  0.00
K 0.0000 0.0000 0.0000  0.00


Record 19
The following is a DFT calculation (PBE-GGA) of crystalline KPuInTe3 at its relaxed geometry.

Output
* formation energy (no corrections): -0.76 eV per atom
* space-group type: P2_1/m, No. 11
* size of the total moment: 11.1 μB per cell
* energy: -5.361 eV/atom

Cell: 4.8405 9.1285 10.9606 Å, 108.77 90.00 90.00°
Last column: magnetic moment on the atom in μB.
Positions (direct):
In 0.7500 0.8947 0.3760  0.03
In 0.2500 0.1053 0.6240  0.03
Te 0.7500 0.2269 0.5447  0.00
Te 0.2500 0.5184 0.8358  -0.08
Te 0.2500 0.7731 0.4553  0.00
Te 0.7500 0.4816 0.1642  -0.08
Te 0.7500 0.9282 0.1259  -0.03
Te 0.2500 0.0718 0.8741  -0.03
Pu 0.7500 0.3100 0.8696  5.42
Pu 0.2500 0.6901 0.1304  5.42
K 0.7500 0.7584 0.7594  0.00
K 0.2500 0.2416 0.2406  0.00


Record 20
The following is a DFT calculation (PBE-GGA) of crystalline KRbIn at its relaxed geometry.

Output
* formation energy from the elements: 0.030 eV/atom
* space-group type: Immm, No. 71
* size of the total moment: 0.0 μB per cell
* energy: -1.571 eV/atom
* energy above the most stable polymorph in this dataset: 0.079 eV/atom

Cell: 5.4923 6.3782 11.1545 Å, 106.61 104.25 90.00°
Positions (direct):
K 0.1769 0.6769 0.3539
K 0.8231 0.3231 0.6461
Rb 0.5974 0.0974 0.1949
Rb 0.4026 0.9026 0.8051
In 0.2494 0.5000 0.0000
In 0.7506 0.5000 0.0000


Record 21
The following is a DFT calculation (PBE-GGA) of crystalline K6RbIn4 at its relaxed geometry.

Output
* formation energy from the elements: -0.073 eV/atom
* space-group type: I-42m, No. 121
* size of the total moment: 0.0 μB per cell
* energy: -1.755 eV/atom

Cell: 9.1722 9.1722 9.3375 Å, 119.42 119.42 90.00°
Positions (direct):
K 0.0000 0.5000 0.0000
K 0.4102 0.0295 0.4396
K 0.5000 0.0000 0.0000
K 0.0295 0.4102 0.4396
K 0.5898 0.5898 0.5604
K 0.9705 0.9705 0.5604
Rb 0.5000 0.5000 0.0000
In 0.8009 0.0848 0.8857
In 0.1991 0.1991 0.1143
In 0.0848 0.8009 0.8857
In 0.9152 0.9152 0.1143


Record 22
The following is a DFT calculation (PBE-GGA) of crystalline KRb2In at its relaxed geometry.

Output
* formation energy from the elements: 0.253 eV/atom
* space-group type: R-3m, No. 166
* size of the total moment: 0.0 μB per cell
* energy: -1.189 eV/atom

Cell: 4.3419 4.3419 15.8685 Å, 82.14 82.14 60.00°
Positions (direct):
K 0.5000 0.5000 0.5000
In 0.0000 0.0000 0.0000
Rb 0.0782 0.0782 0.7654
Rb 0.9218 0.9218 0.2346


Record 23
The following is a DFT calculation (PBE-GGA) of crystalline KRbIn3 at its relaxed geometry.

Output
* formation energy from the elements: 0.621 eV/atom
* space-group type: Pm-3m, No. 221
* size of the total moment: 0.0 μB per cell
* energy: -1.435 eV/atom
* energy above the most stable polymorph in this dataset: 0.116 eV/atom

Cell: 6.4470 6.4470 6.4470 Å, 90.00 90.00 90.00°
Positions (direct):
In 0.0000 0.0000 0.5000
In 0.5000 0.0000 0.0000
In 0.0000 0.5000 0.0000
K 0.5000 0.5000 0.5000
Rb 0.0000 0.0000 0.0000


Record 24
The following is a DFT calculation (PBE-GGA) of crystalline KRbIn at its relaxed geometry.

Output
* formation energy from the elements: -0.049 eV/atom
* space-group type: P2_1/m, No. 11
* size of the total moment: 0.0 μB per cell
* energy: -1.651 eV/atom
* energy above the most stable polymorph in this dataset: 0.000 eV/atom

Cell: 5.1353 9.7907 7.0766 Å, 79.55 90.00 89.99°
Positions (direct):
Rb 0.3121 0.7390 0.7907
Rb 0.8119 0.4188 0.3822
In 0.8120 0.0484 0.6853
In 0.3119 0.1094 0.4884
K 0.8121 0.9212 0.2302
K 0.3120 0.2365 0.9431